Crystalline Sc2PW at its relaxed geometry. Source: Alexandria via LeMat-Bulk, functional GGA-PBE.

a b c (Å): 4.071 3.638 10.081
angles (deg): 90.00 90.00 90.00
Space group Amm2 (No. 38)
Inequivalent atoms, fractional coordinates:
Sc 0.000 0.000 0.000
Sc 0.500 0.000 0.294
P 0.000 0.000 0.714
W 0.500 0.000 0.578

Values from the calculation:
The value obtained for the formation energy is -375.5 meV/atom.